Cd2InAu3 | PBE | optimized geometry

Values from the calculation:
For the total DFT energy (no corrections), the calculation gives -2.526 eV per atom. The energy of formation from the pure elements is -0.126 eV/atom. The size of the total moment comes out at 0.00 μB per atom. The relative energy among the computed polymorphs comes out at 0.023 eV/atom.

Cell lengths 13.761, 5.712, 6.356 Å; angles 90.00, 93.32, 90.00 degrees
Space group C2/c (No. 15)
One atom of each set of equivalent atoms:
Cd  0.169  0.114  0.081 (multiplicity 8)
In  0.000  0.397  0.250 (multiplicity 4)
Au  0.000  0.100  0.750 (multiplicity 4)
Au  0.166  0.380  0.585 (multiplicity 8)

***

LaIn2Pt9 | PBE | optimized geometry

Values from the calculation:
For the total DFT energy (no corrections), the calculation gives -5.920 eV per atom. The energy of formation from the pure elements is -0.523 eV/atom. The size of the total moment comes out at 0.00 μB per atom.

Cell lengths 5.4634, 5.4634, 26.0152 Å; angles 90.00, 90.00, 120.00 degrees
Space group R-3m (No. 166, hexagonal axes)
One atom of each set of equivalent atoms:
La  0.0000  0.0000  0.0000 (multiplicity 3)
In  0.0000  0.0000  0.1414 (multiplicity 6)
Pt  0.0000  0.0000  0.3334 (multiplicity 6)
Pt  0.0000  0.0000  0.5000 (multiplicity 3)
Pt  0.0049  0.5025  0.9145 (multiplicity 18)